# La2GePt6 | Alexandria | PBE | optimized geometry
# SG: C2/m (12)
# calculated formation energy: -0.9468 eV/atom
data_La2GePt6
_cell_length_a 5.732
_cell_length_b 5.732
_cell_length_c 6.332
_cell_angle_alpha 101.91
_cell_angle_beta 101.91
_cell_angle_gamma 60.25
_space_group_name_H-M_alt 'P 1'
_space_group_IT_number 1
_space_group_name_Hall 'P 1'
loop_
_atom_site_label
_atom_site_fract_x
_atom_site_fract_y
_atom_site_fract_z
La1 0.140 0.140 0.343
La2 0.860 0.860 0.657
Ge1 0.500 0.500 0.500
Pt1 0.107 0.619 0.187
Pt2 0.380 0.380 0.808
Pt3 0.381 0.893 0.813
Pt4 0.619 0.107 0.187
Pt5 0.620 0.620 0.192
Pt6 0.893 0.381 0.813